Compound: RbCoCl3O2
Source: Alexandria
Functional: PBE+U
Structure: relaxed

Output
**Symmetry**: C2/c, No. 15
**Uncorrected energy**: -3.5752 eV per atom
**Total moment**: 8.0 μB per cell

a b c (Å): 8.159 8.159 8.609
angles (deg): 115.56 115.56 42.86
Atoms (fractional coordinates):
Rb 0.000 0.500 0.000
Rb 0.500 0.000 0.500
Co 0.000 0.000 0.000
Co 0.000 0.000 0.500
Cl 0.083 0.647 0.454
Cl 0.184 0.816 0.250
Cl 0.353 0.917 0.046
Cl 0.647 0.083 0.954
Cl 0.816 0.184 0.750
Cl 0.917 0.353 0.546
O 0.101 0.719 0.877
O 0.281 0.899 0.623
O 0.719 0.101 0.377
O 0.899 0.281 0.123